Below is a relaxed structure of TcHgMoH2, with properties calculated at the PBE-GGA level.

Summary:
As for the crystal system: tetragonal. Its final energy is -4.534 eV per atom. Its volume is 14.993 Å³ per atom.

Lattice parameters (Å, degrees): 3.550 5.948 3.550 90.00 90.00 90.00
Site moments in Bohr magnetons follow the coordinates.
Fractional positions:
Hg1 0.000 0.000 0.000  0.01
H1 0.000 0.000 0.500  0.00
H2 0.500 0.000 0.000  0.01
Tc1 0.500 0.500 0.500  0.92
Mo1 0.000 0.500 0.000  -0.28



Below is a relaxed structure of TlHgMo2H, with properties calculated at the PBE-GGA level.

Summary:
As for the crystal system: tetragonal. Its final energy is -4.785 eV per atom. Its volume is 15.833 Å³ per atom.

Lattice parameters (Å, degrees): 4.041 4.849 4.041 90.00 90.00 90.00
Fractional positions:
Mo1 0.500 0.000 0.000
Mo2 0.000 0.000 0.500
H1 0.000 0.000 0.000
Tl1 0.000 0.500 0.000
Hg1 0.500 0.500 0.500



Below is a relaxed structure of Zr2HgMoH, with properties calculated at the PBE-GGA level.

Summary:
As for the crystal system: tetragonal. Its final energy is -6.470 eV per atom. Its volume is 16.428 Å³ per atom.

Lattice parameters (Å, degrees): 4.626 4.626 3.839 90.00 90.00 90.00
Fractional positions:
H1 0.000 0.000 0.000
Zr1 0.500 0.000 0.000
Zr2 0.000 0.500 0.000
Mo1 0.000 0.000 0.500
Hg1 0.500 0.500 0.500



Below is a relaxed structure of HgHN2, with properties calculated at the PBE-GGA level.

Summary:
As for the crystal system: cubic. Its final energy is -2.637 eV per atom. For the excess energy over the best structure of this formula in the dataset, the calculation gives 400 kJ/mol of formula units. Its volume is 10.269 Å³ per atom.

Lattice parameters (Å, degrees): 3.873 3.873 3.873 60.00 60.00 60.00
Site moments in Bohr magnetons follow the coordinates.
Fractional positions:
Hg1 0.500 0.500 0.500  0.08
N1 0.750 0.750 0.750  0.47
N2 0.250 0.250 0.250  0.47
H1 0.000 0.000 0.000  -0.15



Below is a relaxed structure of HgHN2, with properties calculated at the PBE-GGA level.

Summary:
As for the crystal system: trigonal. Its final energy is -3.161 eV per atom. For the excess energy over the best structure of this formula in the dataset, the calculation gives 197 kJ/mol of formula units. Its volume is 11.898 Å³ per atom.

Lattice parameters (Å, degrees): 6.891 6.891 6.891 24.01 24.01 24.01
Fractional positions:
N1 0.147 0.147 0.147
N2 0.853 0.853 0.853
H1 0.500 0.500 0.500
Hg1 0.000 0.000 0.000



Below is a relaxed structure of HgH3N, with properties calculated at the PBE-GGA level.

Summary:
As for the crystal system: cubic. Its final energy is -2.501 eV per atom. For the excess energy over the best structure of this formula in the dataset, the calculation gives 723 kJ/mol of formula units. Its volume is 7.985 Å³ per atom.

Lattice parameters (Å, degrees): 3.418 3.418 3.418 90.00 90.00 90.00
Fractional positions:
Hg1 0.500 0.500 0.500
H1 0.000 0.500 0.000
H2 0.000 0.000 0.500
H3 0.500 0.000 0.000
N1 0.000 0.000 0.000



Below is a relaxed structure of HgH3N, with properties calculated at the PBE-GGA level.

Summary:
As for the crystal system: triclinic. Its final energy is -4.000 eV per atom. For the excess energy over the best structure of this formula in the dataset, the calculation gives 0 kJ/mol of formula units. Its volume is 15.041 Å³ per atom.

Lattice parameters (Å, degrees): 10.940 3.741 3.727 99.56 89.92 89.99
Fractional positions:
N1 0.415 0.739 0.161
N2 0.232 0.239 0.662
H1 0.354 0.906 0.324
H2 0.176 0.402 0.545
H3 0.471 0.904 0.044
H4 0.467 0.614 0.332
H5 0.293 0.406 0.824
H6 0.181 0.113 0.833
Hg1 0.935 0.716 0.141
Hg2 0.712 0.216 0.641



Below is a relaxed structure of Hg2HN, with properties calculated at the PBE-GGA level.

Summary:
As for the crystal system: cubic. Its final energy is -1.739 eV per atom. For the excess energy over the best structure of this formula in the dataset, the calculation gives 156 kJ/mol of formula units. Its volume is 13.828 Å³ per atom.

Lattice parameters (Å, degrees): 4.277 4.277 4.277 60.00 60.00 60.00
Fractional positions:
N1 0.500 0.500 0.500
Hg1 0.250 0.250 0.250
Hg2 0.750 0.750 0.750
H1 0.000 0.000 0.000



Below is a relaxed structure of HgHN2, with properties calculated at the PBE-GGA level.

Summary:
As for the crystal system: tetragonal. Its final energy is -3.220 eV per atom. For the excess energy over the best structure of this formula in the dataset, the calculation gives 174 kJ/mol of formula units. Its volume is 10.017 Å³ per atom.

Lattice parameters (Å, degrees): 3.893 3.893 5.961 70.94 70.94 90.00
Site moments in Bohr magnetons follow the coordinates.
Fractional positions:
N1 0.443 0.125 0.250  0.14
N2 0.375 0.557 0.750  0.14
N3 0.875 0.693 0.750  0.14
N4 0.307 0.625 0.250  0.14
Hg1 0.750 0.250 0.500  0.03
Hg2 0.000 0.000 0.000  0.03
H1 0.500 0.500 0.000  -0.01
H2 0.250 0.750 0.500  -0.01



Below is a relaxed structure of HgH3N, with properties calculated at the PBE-GGA level.

Summary:
As for the crystal system: cubic. Its final energy is -2.275 eV per atom. For the excess energy over the best structure of this formula in the dataset, the calculation gives 832 kJ/mol of formula units. Its volume is 10.860 Å³ per atom.

Lattice parameters (Å, degrees): 3.787 3.787 3.787 90.00 90.00 90.00
Site moments in Bohr magnetons follow the coordinates.
Fractional positions:
H1 0.000 0.000 0.500  0.00
H2 0.500 0.000 0.000  0.04
H3 0.000 0.500 0.000  0.02
Hg1 0.000 0.000 0.000  0.04
N1 0.500 0.500 0.500  1.79



Below is a relaxed structure of HgH6N2, with properties calculated at the PBE-GGA level.

Summary:
As for the crystal system: monoclinic. Its final energy is -4.412 eV per atom. Its volume is 14.972 Å³ per atom.

Lattice parameters (Å, degrees): 5.369 7.704 7.704 76.67 67.16 67.16
Fractional positions:
H1 0.624 0.548 0.284
H2 0.592 0.711 0.642
H3 0.092 0.642 0.711
H4 0.908 0.358 0.289
H5 0.805 0.428 0.099
H6 0.195 0.572 0.901
H7 0.408 0.289 0.358
H8 0.695 0.901 0.572
H9 0.305 0.099 0.428
H10 0.124 0.284 0.548
H11 0.376 0.452 0.716
H12 0.876 0.716 0.452
N1 0.731 0.414 0.244
N2 0.269 0.586 0.756
N3 0.769 0.756 0.586
N4 0.231 0.244 0.414
Hg1 0.750 0.097 0.903
Hg2 0.250 0.903 0.097



Below is a relaxed structure of HgHN2, with properties calculated at the PBE-GGA level.

Summary:
As for the crystal system: trigonal. Its final energy is -3.672 eV per atom. For the excess energy over the best structure of this formula in the dataset, the calculation gives 0 kJ/mol of formula units. Its volume is 11.933 Å³ per atom.

Lattice parameters (Å, degrees): 4.999 4.999 4.999 40.60 40.60 40.60
Fractional positions:
N1 0.092 0.092 0.092
N2 0.908 0.908 0.908
H1 0.000 0.000 0.000
Hg1 0.500 0.500 0.500



Below is a relaxed structure of Hg2HN, with properties calculated at the PBE-GGA level.

Summary:
As for the crystal system: tetragonal. Its final energy is -2.143 eV per atom. For the excess energy over the best structure of this formula in the dataset, the calculation gives 0 kJ/mol of formula units. Its volume is 16.619 Å³ per atom.

Lattice parameters (Å, degrees): 4.828 4.828 6.648 68.71 68.71 90.00
Fractional positions:
Hg1 0.375 0.377 0.750
Hg2 0.623 0.125 0.250
Hg3 0.875 0.873 0.750
Hg4 0.127 0.625 0.250
N1 0.750 0.250 0.500
N2 0.000 0.000 0.000
H1 0.250 0.750 0.500
H2 0.500 0.500 0.000



Below is a relaxed structure of HgH6N2O, with properties calculated at the PBE-GGA level.

Summary:
As for the crystal system: monoclinic. Its final energy is -4.403 eV per atom. Its volume is 9.335 Å³ per atom.

Lattice parameters (Å, degrees): 5.317 5.317 7.350 108.17 108.17 89.40
Fractional positions:
H1 0.692 0.613 0.774
H2 0.777 0.518 0.570
H3 0.613 0.692 0.274
H4 0.482 0.223 0.930
H5 0.387 0.308 0.726
H6 0.223 0.482 0.430
H7 0.518 0.777 0.070
H8 0.363 0.838 0.737
H9 0.162 0.637 0.763
H10 0.308 0.387 0.226
H11 0.838 0.363 0.237
H12 0.637 0.162 0.263
Hg1 0.134 0.866 0.250
Hg2 0.866 0.134 0.750
N1 0.576 0.856 0.226
N2 0.144 0.424 0.274
N3 0.856 0.576 0.726
N4 0.424 0.144 0.774
O1 0.654 0.346 0.250
O2 0.346 0.654 0.750



Below is a relaxed structure of Hg2H6N2O, with properties calculated at the PBE-GGA level.

Summary:
As for the crystal system: monoclinic. Its final energy is -4.062 eV per atom. Its volume is 11.889 Å³ per atom.

Lattice parameters (Å, degrees): 5.426 5.541 5.939 118.24 90.00 119.31
Fractional positions:
H1 0.048 0.782 0.514
H2 0.741 0.482 0.522
H3 0.266 0.218 0.486
H4 0.734 0.782 0.514
H5 0.259 0.518 0.478
H6 0.952 0.218 0.486
Hg1 0.354 0.707 0.049
Hg2 0.646 0.293 0.951
N1 0.820 0.641 0.457
N2 0.180 0.359 0.543
O1 0.500 0.000 0.500



Below is a relaxed structure of Hg2HPd6N, with properties calculated at the PBE-GGA level.

Summary:
As for the crystal system: orthorhombic. Its final energy is -4.350 eV per atom. Its volume is 14.451 Å³ per atom.

Lattice parameters (Å, degrees): 5.911 5.911 5.880 120.23 120.23 89.80
Fractional positions:
Pd1 0.747 0.747 0.493
Pd2 0.252 0.252 0.001
Pd3 0.748 0.749 0.999
Pd4 0.748 0.252 0.000
Pd5 0.253 0.254 0.506
Pd6 0.252 0.749 0.000
Hg1 0.250 0.751 0.500
Hg2 0.750 0.250 0.500
N1 0.000 0.000 0.000
H1 0.500 0.500 0.000



Below is a relaxed structure of HgHRuN2, with properties calculated at the PBE-GGA level.

Summary:
As for the crystal system: tetragonal. Its final energy is -3.808 eV per atom. Its volume is 12.057 Å³ per atom.

Lattice parameters (Å, degrees): 4.302 3.257 4.302 90.00 90.00 90.00
Site moments in Bohr magnetons follow the coordinates.
Fractional positions:
Ru1 0.500 0.500 0.500  1.93
N1 0.500 0.000 0.000  -0.13
N2 0.000 0.000 0.500  -0.08
H1 0.000 0.500 0.000  0.00
Hg1 0.000 0.000 0.000  0.00



Below is a relaxed structure of HgH6S2N, with properties calculated at the PBE-GGA level.

Summary:
As for the crystal system: monoclinic. Its final energy is -3.612 eV per atom. Its volume is 13.307 Å³ per atom.

Lattice parameters (Å, degrees): 4.393 7.575 8.324 90.00 106.08 90.00
Fractional positions:
S1 0.026 0.803 0.739
S2 0.526 0.697 0.239
S3 0.474 0.303 0.761
S4 0.974 0.197 0.261
H1 0.518 0.908 0.409
H2 0.742 0.660 0.154
H3 0.284 0.073 0.402
H4 0.018 0.592 0.909
H5 0.784 0.427 0.902
H6 0.242 0.840 0.654
H7 0.482 0.092 0.591
H8 0.258 0.340 0.846
H9 0.982 0.408 0.091
H10 0.758 0.160 0.346
H11 0.216 0.573 0.098
H12 0.716 0.927 0.598
N1 0.500 0.000 0.500
N2 0.000 0.500 0.000
Hg1 0.000 0.500 0.500
Hg2 0.500 0.000 0.000



Below is a relaxed structure of HgH4SN, with properties calculated at the PBE-GGA level.

Summary:
As for the crystal system: monoclinic. Its final energy is -4.010 eV per atom. Its volume is 12.056 Å³ per atom.

Lattice parameters (Å, degrees): 5.813 5.813 6.548 64.80 64.80 61.42
Fractional positions:
H1 0.522 0.229 0.219
H2 0.771 0.478 0.781
H3 0.525 0.525 0.222
H4 0.475 0.475 0.778
H5 0.346 0.346 0.460
H6 0.229 0.522 0.219
H7 0.654 0.654 0.540
H8 0.478 0.771 0.781
N1 0.593 0.593 0.725
N2 0.407 0.407 0.275
S1 0.220 0.220 0.831
S2 0.780 0.780 0.169
Hg1 0.074 0.074 0.263
Hg2 0.926 0.926 0.737



Below is a relaxed structure of HgH6SeN2, with properties calculated at the PBE-GGA level.

Summary:
As for the crystal system: monoclinic. Its final energy is -4.340 eV per atom. Its volume is 15.803 Å³ per atom.

Lattice parameters (Å, degrees): 6.099 6.099 9.255 102.92 102.92 72.92
Fractional positions:
H1 0.330 0.465 0.322
H2 0.465 0.330 0.822
H3 0.201 0.625 0.467
H4 0.625 0.201 0.967
H5 0.047 0.495 0.317
H6 0.799 0.375 0.533
H7 0.375 0.799 0.033
H8 0.670 0.535 0.678
H9 0.953 0.505 0.683
H10 0.495 0.047 0.817
H11 0.505 0.953 0.183
H12 0.535 0.670 0.178
N1 0.420 0.822 0.149
N2 0.822 0.420 0.649
N3 0.580 0.178 0.851
N4 0.178 0.580 0.351
Se1 0.265 0.735 0.750
Se2 0.735 0.265 0.250
Hg1 0.925 0.075 0.750
Hg2 0.075 0.925 0.250



Below is a relaxed structure of HgH6Se2N2, with properties calculated at the PBE-GGA level.

Summary:
As for the crystal system: triclinic. Its final energy is -4.251 eV per atom. Its volume is 15.398 Å³ per atom.

Lattice parameters (Å, degrees): 4.453 6.887 8.677 136.09 80.73 82.19
Fractional positions:
Se1 0.380 0.545 0.162
Se2 0.620 0.455 0.838
N1 0.198 0.857 0.719
N2 0.802 0.143 0.281
H1 0.957 0.927 0.121
H2 0.043 0.073 0.879
H3 0.950 0.254 0.367
H4 0.694 0.239 0.244
H5 0.050 0.746 0.633
H6 0.306 0.761 0.756
Hg1 0.500 0.000 0.500



Below is a relaxed structure of HgTe2HN, with properties calculated at the PBE-GGA level.

Summary:
As for the crystal system: tetragonal. Its final energy is -1.983 eV per atom. For the excess energy over the best structure of this formula in the dataset, the calculation gives 300 kJ/mol of formula units. Its volume is 28.632 Å³ per atom.

Lattice parameters (Å, degrees): 5.976 5.976 4.009 90.00 90.00 90.00
Site moments in Bohr magnetons follow the coordinates.
Fractional positions:
Hg1 0.000 0.000 0.000  0.06
Te1 0.000 0.500 0.000  -0.01
Te2 0.500 0.000 0.000  -0.01
H1 0.500 0.500 0.500  0.35
N1 0.000 0.000 0.500  0.92



Below is a relaxed structure of HgTeH2N, with properties calculated at the PBE-GGA level.

Summary:
As for the crystal system: tetragonal. Its final energy is -2.878 eV per atom. Its volume is 15.717 Å³ per atom.

Lattice parameters (Å, degrees): 3.459 6.568 3.459 90.00 90.00 90.00
Fractional positions:
H1 0.000 0.000 0.500
H2 0.500 0.000 0.000
Hg1 0.000 0.000 0.000
N1 0.500 0.500 0.500
Te1 0.000 0.500 0.000



Below is a relaxed structure of HgTe2HN, with properties calculated at the PBE-GGA level.

Summary:
As for the crystal system: tetragonal. Its final energy is -2.606 eV per atom. For the excess energy over the best structure of this formula in the dataset, the calculation gives 0 kJ/mol of formula units. Its volume is 18.660 Å³ per atom.

Lattice parameters (Å, degrees): 5.601 5.601 2.974 90.00 90.00 90.00
Fractional positions:
N1 0.000 0.000 0.500
Te1 0.500 0.000 0.000
Te2 0.000 0.500 0.000
H1 0.000 0.000 0.000
Hg1 0.500 0.500 0.500